K6NaCd3: optimized geometry, GGA-PBE.

```
K6NaCd3
1.0
7.343 0.000 0.000
0.000 10.853 0.259
0.000 0.245 11.730
K Na Cd
12 2 6
Direct
0.936 0.341 0.079
0.959 0.333 0.415
0.745 0.178 0.735
0.255 0.822 0.265
0.041 0.667 0.585
0.064 0.659 0.921
0.564 0.841 0.579
0.541 0.833 0.915
0.755 0.678 0.235
0.245 0.322 0.765
0.459 0.167 0.085
0.436 0.159 0.421
0.500 0.500 0.500
0.000 0.000 0.000
0.347 0.472 0.233
0.500 0.500 0.000
0.653 0.528 0.767
0.153 0.972 0.733
0.000 0.000 0.500
0.847 0.028 0.267
```

**DOS(E_F)**: 12.2 states/eV/cell
**Energy of formation**: -0.0019 eV per atom
**Space-group type**: No. 14
**Crystal system**: monoclinic



KNaCd17: optimized geometry, GGA-PBE.

```
KNaCd17
1.0
7.766 0.040 0.961
0.854 7.719 0.961
0.044 0.040 7.825
K Na Cd
1 1 17
Direct
0.660 0.660 0.660
0.337 0.337 0.337
0.298 0.003 0.699
0.699 0.298 0.003
0.003 0.699 0.298
0.298 0.699 0.003
0.003 0.298 0.699
0.699 0.003 0.298
0.350 0.858 0.350
0.350 0.350 0.858
0.858 0.350 0.350
0.639 0.168 0.639
0.639 0.639 0.168
0.168 0.639 0.639
0.991 0.510 0.991
0.991 0.991 0.510
0.510 0.991 0.991
0.905 0.905 0.905
0.105 0.105 0.105
```

**DOS(E_F)**: 5.6 states/eV/cell
**Energy of formation**: -0.0447 eV per atom
**Space-group type**: No. 160
**Crystal system**: trigonal



KNa8Cd2: optimized geometry, GGA-PBE.

```
KNa8Cd2
1.0
5.398 0.000 -1.552
-1.016 8.442 -3.535
-0.365 -0.518 8.893
K Na Cd
1 8 2
Direct
0.500 0.000 0.000
0.611 0.485 0.222
0.289 0.101 0.578
0.160 0.306 0.320
0.059 0.718 0.118
0.840 0.694 0.680
0.711 0.899 0.422
0.389 0.515 0.778
0.941 0.282 0.882
0.245 0.706 0.490
0.755 0.294 0.510
```

**Excess energy over the best structure of this formula in the dataset**: 0 meV per atom
**DOS(E_F)**: 4.1 states/eV/cell
**Energy of formation**: -0.0187 eV per atom
**Space-group type**: No. 12
**Crystal system**: monoclinic



K16Na12Cd: optimized geometry, GGA-PBE.

```
K16Na12Cd
1.0
11.729 0.175 -4.168
-5.639 10.286 -4.168
0.079 0.136 12.754
K Na Cd
16 12 1
Direct
0.391 0.391 0.319
0.999 0.999 0.003
0.986 0.986 0.644
0.291 0.291 0.695
0.654 0.431 0.027
0.585 0.294 0.598
0.001 0.683 0.409
0.992 0.635 0.004
0.712 0.326 0.310
0.405 0.993 0.679
0.993 0.405 0.679
0.326 0.712 0.310
0.635 0.992 0.004
0.683 0.001 0.409
0.294 0.585 0.598
0.431 0.654 0.027
0.828 0.828 0.212
0.653 0.653 0.834
0.338 0.153 0.973
0.813 0.639 0.626
0.186 0.000 0.350
0.361 0.993 0.170
0.181 0.802 0.823
0.802 0.181 0.823
0.993 0.361 0.170
0.000 0.186 0.350
0.639 0.813 0.626
0.153 0.338 0.973
0.674 0.674 0.355
```

**DOS(E_F)**: 19.5 states/eV/cell
**Energy of formation**: 0.0173 eV per atom
**Space-group type**: No. 8
**Crystal system**: monoclinic



Look up the energy of formation of the third one. -0.0187 eV per atom



The highest energy of formation belongs to which entry? K16Na12Cd



energy of formation of number 1 (K6NaCd3)? -0.0019 eV per atom



Repeat the third record exactly.
KNa8Cd2: optimized geometry, GGA-PBE.

```
KNa8Cd2
1.0
5.398 0.000 -1.552
-1.016 8.442 -3.535
-0.365 -0.518 8.893
K Na Cd
1 8 2
Direct
0.500 0.000 0.000
0.611 0.485 0.222
0.289 0.101 0.578
0.160 0.306 0.320
0.059 0.718 0.118
0.840 0.694 0.680
0.711 0.899 0.422
0.389 0.515 0.778
0.941 0.282 0.882
0.245 0.706 0.490
0.755 0.294 0.510
```

**Excess energy over the best structure of this formula in the dataset**: 0 meV per atom
**DOS(E_F)**: 4.1 states/eV/cell
**Energy of formation**: -0.0187 eV per atom
**Space-group type**: No. 12
**Crystal system**: monoclinic